[1]
Density functional theory data (GGA-PBE) for Sm4Tl3Se8 after structural relaxation.

Unit cell a=8.517 b=8.599 c=8.599 alpha=89.54 beta=119.41 gamma=119.41
Atoms (fractional coordinates):
Sm 0.000 0.000 0.000
Sm 0.000 0.000 0.500
Sm 0.000 0.500 0.000
Sm 0.500 0.000 0.000
Se 0.500 0.760 0.240
Se 0.475 0.225 0.225
Se 0.000 0.756 0.244
Se 0.019 0.766 0.766
Se 0.500 0.240 0.760
Se 0.000 0.244 0.756
Se 0.981 0.234 0.234
Se 0.525 0.775 0.775
Tl 0.500 0.500 0.500
Tl 0.500 0.000 0.500
Tl 0.500 0.500 0.000

M_tot: 0.00 μB/f.u.
formation energy without anion corrections: -1296 meV/atom
uncorrected energy: -4.89 eV per atom

***

[2]
Density functional theory data (GGA-PBE) for Sm3TlSe4 after structural relaxation.

Unit cell a=4.210 b=4.210 c=29.299 alpha=90.00 beta=90.00 gamma=120.00
Atoms (fractional coordinates):
Sm 0.333 0.667 0.884
Sm 0.667 0.333 0.116
Sm 0.333 0.667 0.616
Sm 0.000 0.000 0.500
Sm 0.667 0.333 0.384
Sm 0.000 0.000 0.000
Tl 0.333 0.667 0.250
Tl 0.667 0.333 0.750
Se 0.667 0.333 0.942
Se 0.667 0.333 0.558
Se 0.000 0.000 0.172
Se 0.000 0.000 0.672
Se 0.333 0.667 0.442
Se 0.000 0.000 0.828
Se 0.333 0.667 0.058
Se 0.000 0.000 0.328

M_tot: 0.00 μB/f.u.
formation energy without anion corrections: -1592 meV/atom
uncorrected energy: -5.40 eV per atom

***

[3]
Density functional theory data (GGA-PBE) for Sm12Tl5Se3 after structural relaxation.

Unit cell a=15.424 b=15.424 c=15.424 alpha=109.47 beta=109.47 gamma=109.47
Atoms (fractional coordinates):
Sm 0.938 0.576 0.166
Sm 0.862 0.272 0.438
Sm 0.090 0.924 0.362
Sm 0.424 0.362 0.590
Sm 0.272 0.862 0.938
Sm 0.562 0.228 0.138
Sm 0.772 0.334 0.910
Sm 0.834 0.924 0.062
Sm 0.862 0.590 0.924
Sm 0.938 0.362 0.272
Sm 0.076 0.910 0.138
Sm 0.272 0.410 0.834
Sm 0.166 0.076 0.938
Sm 0.910 0.834 0.772
Sm 0.090 0.166 0.228
Sm 0.438 0.772 0.862
Sm 0.590 0.728 0.666
Sm 0.410 0.138 0.576
Sm 0.362 0.424 0.090
Sm 0.334 0.562 0.424
Sm 0.666 0.228 0.590
Sm 0.166 0.090 0.728
Sm 0.576 0.638 0.410
Sm 0.666 0.438 0.576
Sm 0.334 0.772 0.410
Sm 0.228 0.562 0.638
Sm 0.062 0.638 0.728
Sm 0.138 0.410 0.076
Sm 0.362 0.938 0.772
Sm 0.728 0.138 0.062
Sm 0.062 0.424 0.834
Sm 0.138 0.728 0.562
Sm 0.924 0.834 0.562
Sm 0.924 0.090 0.862
Sm 0.590 0.862 0.424
Sm 0.076 0.166 0.438
Sm 0.638 0.576 0.910
Sm 0.576 0.938 0.666
Sm 0.424 0.062 0.334
Sm 0.728 0.590 0.166
Sm 0.638 0.062 0.228
Sm 0.834 0.910 0.272
Sm 0.410 0.272 0.334
Sm 0.228 0.666 0.090
Sm 0.910 0.076 0.638
Sm 0.772 0.438 0.362
Sm 0.562 0.334 0.924
Sm 0.438 0.666 0.076
Tl 0.125 0.750 0.375
Tl 0.000 0.000 0.500
Tl 0.250 0.875 0.125
Tl 0.875 0.250 0.625
Tl 0.750 0.125 0.875
Tl 0.500 0.000 0.500
Tl 0.375 0.125 0.750
Tl 0.250 0.375 0.625
Tl 0.000 0.000 0.000
Tl 0.375 0.250 0.125
Tl 0.000 0.500 0.000
Tl 0.125 0.375 0.250
Tl 0.500 0.500 0.000
Tl 0.500 0.000 0.000
Tl 0.625 0.750 0.875
Tl 0.875 0.625 0.750
Tl 0.750 0.625 0.375
Tl 0.000 0.500 0.500
Tl 0.500 0.500 0.500
Tl 0.625 0.875 0.250
Se 0.750 0.875 0.625
Se 0.625 0.375 0.750
Se 0.750 0.375 0.125
Se 0.875 0.750 0.125
Se 0.875 0.125 0.250
Se 0.250 0.125 0.375
Se 0.125 0.875 0.750
Se 0.250 0.625 0.875
Se 0.375 0.750 0.625
Se 0.375 0.625 0.250
Se 0.625 0.250 0.375
Se 0.125 0.250 0.875

M_tot: 3.01 μB/f.u.
formation energy without anion corrections: -132 meV/atom
uncorrected energy: -4.08 eV per atom

***

[4]
Density functional theory data (GGA-PBE) for SmTl2Se4 after structural relaxation.

Unit cell a=4.244 b=7.604 c=13.173 alpha=90.00 beta=90.00 gamma=106.20
Atoms (fractional coordinates):
Se 0.500 0.000 0.000
Se 0.500 0.000 0.500
Se 0.944 0.889 0.750
Se 0.202 0.403 0.847
Se 0.056 0.111 0.250
Se 0.798 0.597 0.347
Se 0.798 0.597 0.153
Se 0.202 0.403 0.653
Sm 0.419 0.838 0.250
Sm 0.581 0.162 0.750
Tl 0.133 0.267 0.444
Tl 0.133 0.267 0.056
Tl 0.867 0.733 0.944
Tl 0.867 0.733 0.556

M_tot: 0.00 μB/f.u.
formation energy without anion corrections: -774 meV/atom
uncorrected energy: -4.12 eV per atom

***

[5]
Density functional theory data (GGA-PBE) for Sm5Tl2Se2 after structural relaxation.

Unit cell a=8.174 b=8.107 c=8.678 alpha=117.85 beta=90.00 gamma=90.00
Atoms (fractional coordinates):
Sm 0.500 0.500 0.000
Sm 0.663 0.040 0.744
Sm 0.000 0.000 0.000
Sm 0.837 0.795 0.256
Sm 0.337 0.960 0.256
Sm 0.163 0.205 0.744
Sm 0.837 0.540 0.744
Sm 0.337 0.705 0.744
Sm 0.663 0.295 0.256
Sm 0.163 0.460 0.256
Tl 0.000 0.791 0.582
Tl 0.000 0.209 0.418
Tl 0.500 0.709 0.418
Tl 0.500 0.291 0.582
Se 0.145 0.640 0.000
Se 0.645 0.860 0.000
Se 0.355 0.140 0.000
Se 0.855 0.360 0.000

M_tot: 0.00 μB/f.u.
formation energy without anion corrections: -856 meV/atom
uncorrected energy: -4.78 eV per atom

***

[6]
Density functional theory data (GGA-PBE) for SmTl4Se4 after structural relaxation.

Unit cell a=4.322 b=7.653 c=9.774 alpha=70.47 beta=77.23 gamma=73.60
Atoms (fractional coordinates):
Sm 0.500 0.000 0.000
Tl 0.912 0.762 0.413
Tl 0.287 0.633 0.793
Tl 0.088 0.238 0.587
Tl 0.713 0.367 0.207
Se 0.097 0.718 0.087
Se 0.903 0.282 0.913
Se 0.671 0.958 0.701
Se 0.329 0.042 0.299

M_tot: 0.00 μB/f.u.
formation energy without anion corrections: -765 meV/atom
uncorrected energy: -3.89 eV per atom

***

[7]
Density functional theory data (GGA-PBE) for SmTmTl2Se4 after structural relaxation.

Unit cell a=4.205 b=7.286 c=8.141 alpha=107.33 beta=90.00 gamma=90.00
Atoms (fractional coordinates):
Tl 0.000 0.500 0.500
Tl 0.500 0.000 0.500
Se 0.500 0.773 0.797
Se 0.500 0.227 0.203
Se 0.000 0.257 0.793
Se 0.000 0.743 0.207
Sm 0.500 0.500 0.000
Tm 0.000 0.000 0.000

M_tot: 0.00 μB/f.u.
formation energy without anion corrections: -1376 meV/atom
uncorrected energy: -4.86 eV per atom

***

[8]
Density functional theory data (GGA-PBE) for SmTm3Tl4Se8 after structural relaxation.

Unit cell a=8.341 b=9.149 c=8.341 alpha=117.14 beta=120.00 gamma=90.00
Atoms (fractional coordinates):
Se 0.273 0.296 0.034
Se 0.266 0.299 0.533
Se 0.734 0.701 0.467
Se 0.238 0.704 0.477
Se 0.762 0.296 0.034
Se 0.762 0.296 0.523
Se 0.238 0.704 0.966
Se 0.727 0.704 0.966
Tm 0.500 0.500 0.000
Tm 0.000 0.500 0.500
Tm 0.500 0.500 0.500
Sm 0.000 0.500 0.000
Tl 0.000 0.000 0.000
Tl 0.500 0.000 0.000
Tl 0.000 0.000 0.500
Tl 0.500 0.000 0.500

M_tot: 0.00 μB/f.u.
formation energy without anion corrections: -1374 meV/atom
uncorrected energy: -4.84 eV per atom

***

[9]
Density functional theory data (GGA-PBE) for Sm2UTl3Se6 after structural relaxation.

Unit cell a=7.363 b=7.363 c=8.158 alpha=98.65 beta=98.65 gamma=119.93
Atoms (fractional coordinates):
Tl 0.500 0.500 0.500
Tl 0.832 0.168 0.500
Tl 0.168 0.832 0.500
Se 0.931 0.602 0.793
Se 0.260 0.260 0.792
Se 0.602 0.931 0.793
Se 0.398 0.069 0.207
Se 0.069 0.398 0.207
Se 0.740 0.740 0.208
U 0.000 0.000 0.000
Sm 0.667 0.333 0.000
Sm 0.333 0.667 0.000

M_tot: 3.00 μB/f.u.
formation energy without anion corrections: -1199 meV/atom
uncorrected energy: -5.26 eV per atom

***

[10]
Density functional theory data (GGA-PBE) for SmUTl2Se4 after structural relaxation.

Unit cell a=4.232 b=7.328 c=8.182 alpha=107.34 beta=90.00 gamma=90.00
Atoms (fractional coordinates):
Se 0.000 0.731 0.206
Se 0.500 0.240 0.208
Se 0.000 0.269 0.794
Se 0.500 0.760 0.792
U 0.500 0.500 0.000
Tl 0.000 0.500 0.500
Tl 0.500 0.000 0.500
Sm 0.000 0.000 0.000

M_tot: 3.00 μB/f.u.
formation energy without anion corrections: -1117 meV/atom
uncorrected energy: -5.45 eV per atom

***

[11]
Density functional theory data (GGA-PBE) for Sm2UTl2Se6 after structural relaxation.

Unit cell a=7.312 b=7.312 c=8.183 alpha=98.75 beta=98.75 gamma=120.04
Atoms (fractional coordinates):
Se 0.068 0.393 0.704
Se 0.932 0.607 0.296
Se 0.393 0.068 0.704
Se 0.748 0.748 0.705
Se 0.607 0.932 0.296
Se 0.252 0.252 0.295
Tl 0.831 0.169 0.000
Tl 0.169 0.831 0.000
Sm 0.333 0.667 0.500
Sm 0.667 0.333 0.500
U 0.000 0.000 0.500

M_tot: 2.00 μB/f.u.
formation energy without anion corrections: -1312 meV/atom
uncorrected energy: -5.53 eV per atom

***

[12]
Density functional theory data (GGA-PBE) for Sm3Tl4VSe8 after structural relaxation.

Unit cell a=8.307 b=9.103 c=8.307 alpha=117.16 beta=120.00 gamma=90.00
Atoms (fractional coordinates):
Se 0.779 0.300 0.020
Se 0.221 0.700 0.442
Se 0.779 0.300 0.558
Se 0.221 0.700 0.980
Se 0.759 0.700 0.980
Se 0.241 0.300 0.020
Se 0.262 0.287 0.525
Se 0.738 0.713 0.475
Tl 0.000 0.000 0.500
Tl 0.000 0.000 0.000
Tl 0.500 0.000 0.500
Tl 0.500 0.000 0.000
V 0.000 0.500 0.000
Sm 0.500 0.500 0.000
Sm 0.000 0.500 0.500
Sm 0.500 0.500 0.500

M_tot: 2.02 μB/f.u.
formation energy without anion corrections: -1128 meV/atom
uncorrected energy: -4.92 eV per atom